VASP calculation (PBE) on an optimized crystal structure of YMgRh.

The structure belongs to space group P-6m2 (No. 187); the cell edges are 4.5540, 4.5540 and 3.5127 Å and the angles 90.00°, 90.00° and 120.00°. The asymmetric unit holds Y at (0.0000, 0.0000, 0.0000), Mg at (0.3333, 0.6667, 0.5000) and Rh at (0.6667, 0.3333, 0.5000).

Its magnetic moment is 0.000 μB/atom. Its formation energy is -0.43 eV/atom. The calculation puts the calculated total energy at -5.567 eV per atom.

***

VASP calculation (PBE) on an optimized crystal structure of YTa2Pb2.

The structure belongs to space group P4/mbm (No. 127); the cell edges are 8.658, 8.658 and 3.154 Å and the angles 90.00°, 90.00° and 90.00°. The asymmetric unit holds Y at (0.000, 0.000, 0.000), Ta at (0.110, 0.390, 0.000) and Pb at (0.183, 0.683, 0.500).

Its magnetic moment is 0.000 μB/atom. Its formation energy is 0.41 eV/atom. The calculation puts the calculated total energy at -7.105 eV per atom.

***

VASP calculation (PBE) on an optimized crystal structure of TaCSe2Br.

The structure belongs to space group P4/mmm (No. 123); the cell edges are 5.000, 5.000 and 5.186 Å and the angles 90.00°, 90.00° and 90.00°. The asymmetric unit holds Ta at (0.000, 0.000, 0.000), C at (0.500, 0.500, 0.500), Se at (0.000, 0.500, 0.000) and Br at (0.000, 0.000, 0.500).

Its magnetic moment is 0.387 μB/atom. The formation energy (no corrections) is 1.18 eV/atom. The calculation puts the calculated total energy at -4.766 eV per atom.

***

VASP calculation (PBE) on an optimized crystal structure of CaVCu.

The structure belongs to space group P-1 (No. 2); the cell edges are 3.306, 4.382 and 8.177 Å and the angles 95.21°, 90.82° and 90.23°. The asymmetric unit holds Ca at (0.011, 0.291, 0.220), V at (0.396, 0.178, 0.560) and Cu at (0.497, 0.232, 0.910).

Its magnetic moment is 0.000 μB/atom. Its formation energy is 0.32 eV/atom. The calculation puts the calculated total energy at -4.748 eV per atom.

***

VASP calculation (PBE) on an optimized crystal structure of HgRh2Pb2.

The structure belongs to space group P4/mbm (No. 127); the cell edges are 8.252, 8.252 and 3.111 Å and the angles 90.00°, 90.00° and 90.00°. The asymmetric unit holds Hg at (0.000, 0.000, 0.000), Rh at (0.134, 0.366, 0.500) and Pb at (0.158, 0.658, 0.000).

Its magnetic moment is 0.000 μB/atom. Its formation energy is 0.15 eV/atom. The calculation puts the calculated total energy at -4.330 eV per atom.

***

VASP calculation (PBE) on an optimized crystal structure of Tb3Tm2Mg.

The structure belongs to space group P4/mmm (No. 123); the cell edges are 3.545, 3.545 and 14.286 Å and the angles 90.00°, 90.00° and 90.00°. The asymmetric unit holds Tb at (0.000, 0.000, 0.000), Tb at (0.000, 0.000, 0.345), Tm at (0.500, 0.500, 0.174) and Mg at (0.500, 0.500, 0.500).

Its magnetic moment is 0.000 μB/atom. Its formation energy is -0.01 eV/atom. The calculation puts the calculated total energy at -4.082 eV per atom.

***

VASP calculation (PBE) on an optimized crystal structure of KBaAs2O6.

The structure belongs to space group C2/c (No. 15); the cell edges are 11.166, 11.223 and 6.258 Å and the angles 90.00°, 104.87° and 90.00°. The asymmetric unit holds K at (0.000, 0.176, 0.250), Ba at (0.000, 0.381, 0.750), As at (0.212, 0.077, 0.750), O at (0.128, 0.419, 0.175), O at (0.148, 0.214, 0.680) and O at (0.159, 0.019, 0.001).

Its magnetic moment is 0.000 μB/atom. The formation energy (no corrections) is -1.68 eV/atom. The calculation puts the calculated total energy at -5.890 eV per atom.

***

VASP calculation (PBE) on an optimized crystal structure of LiLaTa2.

The structure belongs to space group R3m (No. 160, hexagonal axes); the cell edges are 3.0646, 3.0646 and 32.2378 Å and the angles 90.00°, 90.00° and 120.00°. The asymmetric unit holds Li at (0.0000, 0.0000, 0.0000), La at (0.0000, 0.0000, 0.7642), Ta at (0.0000, 0.0000, 0.2567) and Ta at (0.0000, 0.0000, 0.5170).

Its magnetic moment is 0.059 μB/atom. Its formation energy is 0.49 eV/atom. The calculation puts the calculated total energy at -7.150 eV per atom.

***

VASP calculation (PBE) on an optimized crystal structure of TaRuRh2.

The structure belongs to space group P4/mmm (No. 123); the cell edges are 3.332, 3.332 and 5.507 Å and the angles 90.00°, 90.00° and 90.00°. The asymmetric unit holds Ta at (0.000, 0.000, 0.000), Ru at (0.000, 0.000, 0.500) and Rh at (0.500, 0.500, 0.253).

Its magnetic moment is 0.005 μB/atom. Its formation energy is -0.12 eV/atom. The calculation puts the calculated total energy at -9.078 eV per atom.

***

VASP calculation (PBE) on an optimized crystal structure of SmErGaOs.

The structure belongs to space group F-43m (No. 216); the cell edges are 7.014, 7.014 and 7.014 Å and the angles 90.00°, 90.00° and 90.00°. The asymmetric unit holds Sm at (0.000, 0.000, 0.000), Er at (0.000, 0.000, 0.500), Ga at (0.250, 0.250, 0.750) and Os at (0.250, 0.250, 0.250).

Its magnetic moment is 0.000 μB/atom. Its formation energy is -0.31 eV/atom. The calculation puts the calculated total energy at -6.196 eV per atom.

***

VASP calculation (PBE) on an optimized crystal structure of Pr3Ge4Au7.

The structure belongs to space group C2/m (No. 12); the cell edges are 16.514, 4.490 and 9.782 Å and the angles 90.00°, 125.71° and 90.00°. The asymmetric unit holds Pr at (0.000, 0.000, 0.000), Pr at (0.189, 0.500, 0.690), Ge at (0.128, 0.000, 0.846), Ge at (0.166, 0.500, 0.286), Au at (0.000, 0.000, 0.500), Au at (0.008, 0.500, 0.300), Au at (0.149, 0.000, 0.412) and Au at (0.172, 0.500, 0.028).

Its magnetic moment is 0.000 μB/atom. Its formation energy is -0.59 eV/atom. The calculation puts the calculated total energy at -4.571 eV per atom.

***

VASP calculation (PBE) on an optimized crystal structure of GdHo2.

The structure belongs to space group I4/mmm (No. 139); the cell edges are 3.548, 3.548 and 14.995 Å and the angles 90.00°, 90.00° and 90.00°. The asymmetric unit holds Gd at (0.000, 0.000, 0.000) and Ho at (0.000, 0.000, 0.332).

Its magnetic moment is 2.420 μB/atom. Its formation energy is 0.02 eV/atom. The calculation puts the calculated total energy at -7.723 eV per atom.

***

Question: The highest calculated total energy belongs to which entry?
Answer: Tb3Tm2Mg

***

Question: What is the calculated total energy in the sixth record?
Answer: -4.082 eV per atom

***

Question: The lowest calculated total energy belongs to which entry?
Answer: TaRuRh2